# 1
The following is a DFT calculation (meta-GGA SCAN) of ZnRe2BPt at its PBEsol-relaxed geometry.

Calculated values
formation energy	9.95	eV/f.u.

a b c (Å): 4.823 4.823 3.838
angles (deg): 90.00 90.00 90.00
Positions (direct):
Zn  0.000  0.000  0.000
Re  0.000  0.500  0.500
Re  0.500  0.000  0.500
B  0.500  0.500  0.000
Pt  0.500  0.500  0.500

# 2
The following is a DFT calculation (meta-GGA SCAN) of CdSiO3 at its PBEsol-relaxed geometry.

Calculated values
formation energy without anion corrections	-2339	meV per atom

a b c (Å): 9.688 9.604 5.461
angles (deg): 90.00 90.00 90.00
Positions (direct):
Cd  0.000  0.100  0.250
Cd  0.000  0.276  0.750
Cd  0.000  0.724  0.250
Cd  0.000  0.900  0.750
Cd  0.500  0.224  0.250
Cd  0.500  0.400  0.750
Cd  0.500  0.600  0.250
Cd  0.500  0.776  0.750
Si  0.206  0.416  0.095
Si  0.206  0.584  0.595
Si  0.294  0.084  0.595
Si  0.294  0.916  0.095
Si  0.706  0.084  0.905
Si  0.706  0.916  0.405
Si  0.794  0.416  0.405
Si  0.794  0.584  0.905
O  0.126  0.090  0.596
O  0.126  0.910  0.096
O  0.130  0.267  0.070
O  0.130  0.733  0.570
O  0.152  0.498  0.345
O  0.152  0.502  0.845
O  0.348  0.002  0.845
O  0.348  0.998  0.345
O  0.370  0.233  0.570
O  0.370  0.767  0.070
O  0.374  0.410  0.096
O  0.374  0.590  0.596
O  0.626  0.410  0.404
O  0.626  0.590  0.904
O  0.630  0.233  0.930
O  0.630  0.767  0.430
O  0.652  0.002  0.655
O  0.652  0.998  0.155
O  0.848  0.498  0.155
O  0.848  0.502  0.655
O  0.870  0.267  0.430
O  0.870  0.733  0.930
O  0.874  0.090  0.904
O  0.874  0.910  0.404

# 3
The following is a DFT calculation (meta-GGA SCAN) of ReIrF3 at its PBEsol-relaxed geometry.

Calculated values
formation energy without anion corrections	287	meV per atom

a b c (Å): 4.082 4.082 4.082
angles (deg): 90.00 90.00 90.00
Positions (direct):
Re  0.000  0.000  0.000
Ir  0.500  0.500  0.500
F  0.000  0.000  0.500
F  0.000  0.500  0.000
F  0.500  0.000  0.000

# 4
The following is a DFT calculation (meta-GGA SCAN) of Na2AgSb at its PBEsol-relaxed geometry.

Calculated values
formation energy without anion corrections	-418	meV per atom

a b c (Å): 6.028 6.028 5.701
angles (deg): 90.00 90.00 80.21
Positions (direct):
Na  0.027  0.330  0.250
Na  0.330  0.027  0.750
Na  0.670  0.973  0.250
Na  0.973  0.670  0.750
Ag  0.500  0.500  0.000
Ag  0.500  0.500  0.500
Sb  0.207  0.793  0.250
Sb  0.793  0.207  0.750

# 5
The following is a DFT calculation (meta-GGA SCAN) of TaAl2W at its PBEsol-relaxed geometry.

Calculated values
energy above the most stable polymorph in this dataset	0.2477	eV/atom
formation energy	0.24	eV/f.u.

a b c (Å): 2.740 2.740 8.558
angles (deg): 90.00 90.00 90.00
Positions (direct):
Ta  0.000  0.000  0.000
Al  0.000  0.000  0.504
Al  0.500  0.500  0.757
W  0.500  0.500  0.270

# 6
The following is a DFT calculation (meta-GGA SCAN) of Mn2InW at its PBEsol-relaxed geometry.

Calculated values
formation energy	0.79	eV/f.u.

a b c (Å): 3.028 3.028 6.104
angles (deg): 90.00 90.00 90.00
Positions (direct):
Mn  0.000  0.000  0.222
Mn  0.000  0.000  0.778
In  0.500  0.500  0.500
W  0.500  0.500  0.000

# 7
The following is a DFT calculation (meta-GGA SCAN) of BaZr2Pt at its PBEsol-relaxed geometry.

Calculated values
energy above the most stable polymorph in this dataset	0.4151	eV/atom
formation energy	0.81	eV/f.u.

a b c (Å): 5.049 5.049 3.339
angles (deg): 90.00 90.00 90.00
Positions (direct):
Ba  0.000  0.000  0.000
Zr  0.000  0.500  0.500
Zr  0.500  0.000  0.500
Pt  0.500  0.500  0.000

# 8
The following is a DFT calculation (meta-GGA SCAN) of CdPtSe2Br at its PBEsol-relaxed geometry.

Calculated values
formation energy without anion corrections	187	meV per atom

a b c (Å): 4.920 4.920 5.055
angles (deg): 90.00 90.00 90.00
Positions (direct):
Cd  0.000  0.000  0.000
Pt  0.500  0.500  0.500
Se  0.000  0.500  0.500
Se  0.500  0.000  0.500
Br  0.500  0.500  0.000

no.,V (Å³ per cell),uncorrected energy (eV/atom)
1,89.26,-44.678
2,508.07,-14.164
3,68.02,-30.277
4,204.12,-19.683
5,64.27,-37.884
6,55.96,-34.698
7,85.12,-42.583
8,122.36,-31.858